[1]
# Ca4Pt

An optimized crystal structure of Ca4Pt (PBE-GGA, the Alexandria database).

Output
DOS at the Fermi energy = 5.7 states/eV/cell
symmetry = P2_1/c, No. 14
E = -32.82 eV for the cell shown
energy relative to the elements = -0.472 eV per atom
total magnetization = 0.00 μB per cell

```
Ca4Pt
1.0
7.9876 0.0000 0.0000
0.0000 6.5907 0.0000
-3.9951 0.0000 6.9216
Ca Pt
8 2
direct
0.1683 0.2449 0.3352 Ca
0.1683 0.2551 0.8352 Ca
0.3314 0.7502 0.1656 Ca
0.3314 0.7498 0.6656 Ca
0.6686 0.2502 0.3344 Ca
0.6686 0.2498 0.8344 Ca
0.8317 0.7449 0.1648 Ca
0.8317 0.7551 0.6648 Ca
0.5000 0.0000 0.5000 Pt
0.5000 0.5000 0.0000 Pt
```

---

[2]
# RbTi3Be

An optimized crystal structure of RbTi3Be (PBE-GGA, the Alexandria database).

Output
DOS at the Fermi energy = 7.7 states/eV/cell
symmetry = Pm-3m, No. 221
E = -22.99 eV for the cell shown
energy relative to the elements = 1.077 eV per atom
total magnetization = 0.00 μB per cell

```
RbTi3Be
1.0
4.7303 0.0000 0.0000
0.0000 4.7303 0.0000
0.0000 0.0000 4.7303
Rb Ti Be
1 3 1
direct
0.0000 0.0000 0.0000 Rb
0.0000 0.5000 0.5000 Ti
0.5000 0.0000 0.5000 Ti
0.5000 0.5000 0.0000 Ti
0.5000 0.5000 0.5000 Be
```

---

[3]
# PuPtCl

An optimized crystal structure of PuPtCl (PBE-GGA, the Alexandria database).

Output
DOS at the Fermi energy = 21.9 states/eV/cell
symmetry = P4/nmm, No. 129
E = -51.57 eV for the cell shown
formation energy without anion corrections = -3.57 eV per formula unit
total magnetization = 11.07 μB per cell

```
PuPtCl
1.0
3.8952 0.0000 0.0000
0.0000 3.8952 0.0000
0.0000 0.0000 8.8444
Pu Pt Cl
2 2 2
direct
0.2500 0.2500 0.2472 Pu
0.7500 0.7500 0.7528 Pu
0.2500 0.7500 0.0000 Pt
0.7500 0.2500 0.0000 Pt
0.2500 0.2500 0.6222 Cl
0.7500 0.7500 0.3778 Cl
```

---

[4]
# NdPa2AgO8

An optimized crystal structure of NdPa2AgO8 (PBE-GGA, the Alexandria database).

Output
DOS at the Fermi energy = 6.8 states/eV/cell
symmetry = I-4m2, No. 119
E = -99.25 eV for the cell shown
formation energy without anion corrections = -32.97 eV per formula unit
total magnetization = 0.00 μB per cell

```
NdPa2AgO8
1.0
-2.7461 2.7461 5.4167
2.7461 -2.7461 5.4167
2.7461 2.7461 -5.4167
Nd Pa Ag O
1 2 1 8
direct
0.0000 0.0000 0.0000 Nd
0.5000 0.5000 0.0000 Pa
0.7500 0.2500 0.5000 Pa
0.2500 0.7500 0.5000 Ag
0.1241 0.1459 0.5197 O
0.1241 0.6045 0.9783 O
0.3955 0.3738 0.5197 O
0.3955 0.8759 0.0217 O
0.6262 0.1459 0.0217 O
0.6262 0.6045 0.4803 O
0.8541 0.3738 0.9783 O
0.8541 0.8759 0.4803 O
```

---

[5]
# BaAlSiO2

An optimized crystal structure of BaAlSiO2 (PBE-GGA, the Alexandria database).

Output
DOS at the Fermi energy = 3.8 states/eV/cell
symmetry = P4/mmm, No. 123
E = -25.74 eV for the cell shown
formation energy without anion corrections = -4.74 eV per formula unit
total magnetization = 0.00 μB per cell

```
BaAlSiO2
1.0
4.1551 0.0000 0.0000
0.0000 4.1551 0.0000
0.0000 0.0000 4.7484
Ba Al Si O
1 1 1 2
direct
0.0000 0.0000 0.0000 Ba
0.5000 0.5000 0.5000 Al
0.5000 0.5000 0.0000 Si
0.0000 0.5000 0.5000 O
0.5000 0.0000 0.5000 O
```

---

[6]
# ZrSc2In4

An optimized crystal structure of ZrSc2In4 (PBE-GGA, the Alexandria database).

Output
DOS at the Fermi energy = 8.1 states/eV/cell
symmetry = I4/mmm, No. 139
E = -33.97 eV for the cell shown
energy relative to the elements = -0.258 eV per atom
total magnetization = 0.00 μB per cell

```
ZrSc2In4
1.0
-3.2369 3.2369 4.1447
3.2369 -3.2369 4.1447
3.2369 3.2369 -4.1447
Zr Sc In
1 2 4
direct
0.0000 0.0000 0.0000 Zr
0.0000 0.5000 0.5000 Sc
0.5000 0.0000 0.5000 Sc
0.0000 0.0000 0.5000 In
0.0000 0.5000 0.0000 In
0.5000 0.0000 0.0000 In
0.5000 0.5000 0.5000 In
```

---

Respective theoretical density values: 3.239; 3.735; 11.744; 8.559; 4.545; 6.122 g cm⁻³.